Record 1
{"formula": "In2TeRu", "functional": "PBE", "state": "relaxed", "lattice": [[0.000, 3.512, 3.512], [3.512, 0.000, 3.512], [3.512, 3.512, 0.000]], "species": ["In", "In", "Te", "Ru"], "frac_coords": [[0.000, 0.000, 0.000], [0.250, 0.250, 0.250], [0.750, 0.750, 0.750], [0.500, 0.500, 0.500]]}

---

Record 2
{"formula": "In2TeRu", "functional": "PBE", "state": "relaxed", "lattice": [[3.243, 0.000, 0.000], [0.000, 3.243, 0.000], [0.000, 0.000, 8.755]], "species": ["In", "In", "Te", "Ru"], "frac_coords": [[0.000, 0.000, 0.000], [0.500, 0.500, 0.274], [0.500, 0.500, 0.658], [0.000, 0.000, 0.492]]}

---

Record 3
{"formula": "InTe2Ru", "functional": "PBE", "state": "relaxed", "lattice": [[3.197, 0.000, 0.000], [0.000, 2.163, 7.948], [0.000, -2.163, 7.948]], "species": ["In", "Te", "Te", "Ru"], "frac_coords": [[0.000, 0.000, 0.000], [0.000, 0.337, 0.337], [0.500, 0.640, 0.640], [0.500, 0.469, 0.469]]}

---

Asked for final energy across the records above, the calculation gives -16.2; -17.7; -18.5 eV/cell in order.
Asked for N(E_F) across the records above, the calculation gives 0.5234; 0.6646; 0.6407 states/eV per atom in order.